# RbMnMoO2 | the Alexandria database | PBE+U | optimized geometry
# Final energy = -3.808 eV per atom
data_RbMnMoO2
_space_group_name_H-M_alt 'P 1'
_space_group_IT_number 1
_space_group_name_Hall 'P 1'
_cell_length_a 4.828
_cell_length_b 4.828
_cell_length_c 5.870
_cell_angle_alpha 90.00
_cell_angle_beta 90.00
_cell_angle_gamma 90.00
loop_
_atom_site_label
_atom_site_type_symbol
_atom_site_fract_x
_atom_site_fract_y
_atom_site_fract_z
Rb1 Rb 0.000 0.000 0.000
Mn1 Mn 0.500 0.500 0.500
Mo1 Mo 0.000 0.000 0.500
O1 O 0.000 0.500 0.000
O2 O 0.500 0.000 0.000